Material: CsLi2Re
Method: DFT, PBE-GGA
State: relaxed

Computed properties:
Total moment: 2.6 μB per cell
Energy of formation: 1411 meV/atom
Crystal system: cubic

Unit cell a=5.197 b=5.197 c=5.197 alpha=60.00 beta=60.00 gamma=60.00
Positions (direct):
Li 0.250 0.250 0.250
Li 0.750 0.750 0.750
Cs 0.000 0.000 0.000
Re 0.500 0.500 0.500

Material: Cs2LiReS4
Method: DFT, PBE-GGA
State: relaxed

Computed properties:
Total moment: 4.0 μB per cell
Crystal system: orthorhombic
Uncorrected formation energy: -0.867 eV/atom

Unit cell a=5.901 b=7.701 c=12.880 alpha=84.97 beta=76.76 gamma=67.47
Positions (direct):
Re 0.250 0.500 0.500
Re 0.500 0.000 0.000
Cs 0.176 0.000 0.647
S 0.515 0.317 0.600
S 0.582 0.183 0.100
Li 0.750 0.500 0.500
S 0.168 0.317 0.400
Cs 0.926 0.500 0.147
S 0.885 0.683 0.600
Cs 0.824 0.000 0.353
Li 0.000 0.000 0.000
S 0.235 0.183 0.900
S 0.865 0.817 0.900
S 0.432 0.683 0.400
S 0.318 0.817 0.100
Cs 0.574 0.500 0.853

Material: CsLiReS4
Method: DFT, PBE-GGA
State: relaxed

Computed properties:
Total moment: 1.9 μB per cell
Crystal system: monoclinic
Uncorrected formation energy: -0.732 eV/atom

Unit cell a=5.976 b=7.717 c=10.050 alpha=90.00 beta=109.32 gamma=90.00
Positions (direct):
S 0.931 0.521 0.270
S 0.069 0.021 0.730
S 0.069 0.479 0.730
Re 0.151 0.750 0.280
S 0.931 0.979 0.270
Li 0.334 0.250 0.697
Re 0.849 0.250 0.720
S 0.711 0.250 0.899
Cs 0.659 0.750 0.859
Cs 0.341 0.250 0.141
S 0.455 0.750 0.473
S 0.545 0.250 0.527
S 0.289 0.750 0.101
Li 0.666 0.750 0.303

Material: CsLiRe2Sn
Method: DFT, PBE-GGA
State: relaxed

Computed properties:
Total moment: 4.1 μB per cell
Energy of formation: 1789 meV/atom
Crystal system: tetragonal

Unit cell a=5.072 b=5.535 c=5.072 alpha=90.00 beta=90.00 gamma=90.00
Positions (direct):
Li 0.000 0.500 0.000
Re 0.500 0.000 0.000
Re 0.000 0.000 0.500
Sn 0.000 0.000 0.000
Cs 0.500 0.500 0.500

Material: Cs2LiRh
Method: DFT, PBE-GGA
State: relaxed

Computed properties:
Total moment: 0.0 μB per cell
Energy of formation: 427 meV/atom
Crystal system: tetragonal

Unit cell a=12.597 b=12.597 c=9.235 alpha=47.00 beta=47.00 gamma=90.00
Positions (direct):
Li 0.250 0.750 0.500
Cs 0.375 0.167 0.750
Cs 0.875 0.083 0.750
Rh 0.750 0.250 0.500
Cs 0.917 0.625 0.250
Li 0.500 0.500 0.000
Cs 0.833 0.125 0.250
Rh 0.000 0.000 0.000

Material: CsLi3Rh
Method: DFT, PBE-GGA
State: relaxed

Computed properties:
Total moment: 0.0 μB per cell
Energy of formation: 1259 meV/atom
Crystal system: cubic

Unit cell a=4.941 b=4.941 c=4.941 alpha=90.00 beta=90.00 gamma=90.00
Positions (direct):
Rh 0.500 0.500 0.500
Li 0.000 0.000 0.500
Li 0.500 0.000 0.000
Cs 0.000 0.000 0.000
Li 0.000 0.500 0.000

Number 1: DOS at the Fermi energy 4.6 states/eV per cell. Number 2: DOS at the Fermi energy 2.6 states/eV per cell. Number 3: DOS at the Fermi energy 6.8 states/eV per cell. Number 4: DOS at the Fermi energy 5.4 states/eV per cell. Number 5: DOS at the Fermi energy 2.0 states/eV per cell. Number 6: DOS at the Fermi energy 4.3 states/eV per cell.